Below is HfAgMo2 after structural relaxation, with properties calculated at the GGA-PBE level.

E_form ... 0.548 eV/atom
E above lowest polymorph ... 0.00 eV/f.u.

a = 4.625 Å, b = 4.625 Å, c = 4.625 Å
α = 60.00°, β = 60.00°, γ = 60.00°
Positions (direct):
Hf 0.000 0.000 0.000
Ag 0.500 0.500 0.500
Mo 0.250 0.250 0.250
Mo 0.750 0.750 0.750

Below is CsBaTcSn2 after structural relaxation, with properties calculated at the GGA-PBE level.

E_form ... 0.225 eV/atom

a = 5.334 Å, b = 5.334 Å, c = 5.839 Å
α = 90.00°, β = 90.00°, γ = 90.00°
Positions (direct):
Cs 0.000 0.000 0.000
Ba 0.500 0.500 0.000
Tc 0.000 0.000 0.500
Sn 0.000 0.500 0.500
Sn 0.500 0.000 0.500

Below is Ba2CdP after structural relaxation, with properties calculated at the GGA-PBE level.

E_form ... -0.377 eV/atom
E above lowest polymorph ... 1.06 eV/f.u.

a = 4.859 Å, b = 4.859 Å, c = 6.752 Å
α = 90.00°, β = 90.00°, γ = 90.00°
Positions (direct):
Ba 0.000 0.000 0.000
Ba 0.500 0.500 0.498
Cd 0.500 0.500 0.997
P 0.000 0.000 0.500

Below is Er6Tl2Si after structural relaxation, with properties calculated at the GGA-PBE level.

Formation energy from raw total energies ... -0.352 eV per atom

a = 8.386 Å, b = 8.386 Å, c = 4.005 Å
α = 90.00°, β = 90.00°, γ = 120.00°
Positions (direct):
Er 0.000 0.392 0.000
Er 0.000 0.749 0.500
Er 0.251 0.251 0.500
Er 0.392 0.000 0.000
Er 0.608 0.608 0.000
Er 0.749 0.000 0.500
Tl 0.333 0.667 0.500
Tl 0.667 0.333 0.500
Si 0.000 0.000 0.000